No. 1
First-principles (PBE-GGA) data for a relaxed Pm6Sm4Th crystal, as listed in Alexandria via LeMat-Bulk.

Formation energy from the elements, meV/atom: 138

a = 5.941 Å, b = 5.695 Å, c = 25.963 Å
α = 90.00°, β = 90.00°, γ = 121.44°
Atoms (fractional coordinates):
Pm1 0.500 0.000 0.500
Pm2 0.206 0.412 0.898
Pm3 0.112 0.223 0.317
Sm1 0.555 0.109 0.877
Sm2 0.445 0.891 0.123
Sm3 0.147 0.293 0.043
Pm4 0.438 0.876 0.250
Pm5 0.888 0.777 0.817
Pm6 0.206 0.412 0.602
Pm7 0.888 0.777 0.683
Pm8 0.112 0.223 0.183
Th1 0.779 0.558 0.250
Sm4 0.445 0.891 0.377
Th2 0.221 0.442 0.750
Sm5 0.853 0.707 0.957
Sm6 0.853 0.707 0.543
Sm7 0.147 0.293 0.457
Pm9 0.500 0.000 0.000
Pm10 0.562 0.124 0.750
Pm11 0.794 0.588 0.102
Sm8 0.555 0.109 0.623
Pm12 0.794 0.588 0.398

No. 2
First-principles (PBE-GGA) data for a relaxed PmNp2Se4 crystal, as listed in Alexandria via LeMat-Bulk.

Polymorph energy (0 for the lowest one), eV per atom: 0.0240
Formation energy from raw total energies, meV/atom: -1327

a = 8.303 Å, b = 8.275 Å, c = 8.275 Å
α = 60.19°, β = 59.89°, γ = 59.89°
Atoms (fractional coordinates):
Np1 0.000 0.000 0.000
Np2 0.000 0.000 0.500
Se1 0.760 0.249 0.749
Se2 0.253 0.242 0.251
Np3 0.000 0.500 0.500
Se3 0.747 0.758 0.749
Np4 0.500 0.000 0.500
Se4 0.747 0.249 0.258
Se5 0.243 0.249 0.749
Se6 0.240 0.751 0.251
Se7 0.757 0.751 0.251
Se8 0.253 0.751 0.742
Pm1 0.500 0.500 0.000
Pm2 0.000 0.500 0.000

No. 3
First-principles (PBE-GGA) data for a relaxed PmCuAu2 crystal, as listed in Alexandria via LeMat-Bulk.

Formation energy from the elements, meV/atom: -591
Polymorph energy (0 for the lowest one), eV per atom: 0.0000

a = 5.457 Å, b = 7.587 Å, c = 15.337 Å
α = 90.00°, β = 90.00°, γ = 90.00°
Atoms (fractional coordinates):
Au1 0.761 0.556 0.535
Cu1 0.028 0.750 0.931
Au2 0.051 0.944 0.785
Au3 0.739 0.556 0.035
Pm1 0.532 0.750 0.860
Pm2 0.261 0.750 0.607
Au4 0.261 0.056 0.965
Au5 0.239 0.444 0.465
Pm3 0.032 0.250 0.640
Cu2 0.472 0.750 0.431
Au6 0.949 0.444 0.215
Pm4 0.468 0.250 0.140
Cu3 0.235 0.250 0.317
Cu4 0.265 0.250 0.817
Au7 0.551 0.056 0.715
Cu5 0.735 0.750 0.183
Cu6 0.528 0.250 0.569
Au8 0.051 0.556 0.785
Cu7 0.765 0.750 0.683
Au9 0.761 0.944 0.535
Au10 0.449 0.944 0.285
Cu8 0.972 0.250 0.069
Pm5 0.739 0.250 0.393
Au11 0.551 0.444 0.715
Au12 0.239 0.056 0.465
Pm6 0.239 0.750 0.107
Pm7 0.968 0.750 0.360
Au13 0.449 0.556 0.285
Pm8 0.761 0.250 0.893
Au14 0.739 0.944 0.035
Au15 0.261 0.444 0.965
Au16 0.949 0.056 0.215

No. 4
First-principles (PBE-GGA) data for a relaxed Tb2Pm3ErTm6 crystal, as listed in Alexandria via LeMat-Bulk.

Formation energy from the elements, meV/atom: 21

a = 6.141 Å, b = 6.141 Å, c = 11.671 Å
α = 95.02°, β = 95.02°, γ = 119.97°
Atoms (fractional coordinates):
Tm1 0.082 0.416 0.247
Tb1 0.333 0.667 0.000
Tm2 0.416 0.082 0.247
Pm1 0.833 0.167 0.500
Tb2 0.667 0.333 0.000
Tm3 0.918 0.584 0.753
Er1 0.000 0.000 0.000
Pm2 0.167 0.833 0.500
Tm4 0.584 0.918 0.753
Pm3 0.500 0.500 0.500
Tm5 0.251 0.251 0.753
Tm6 0.749 0.749 0.247

No. 5
First-principles (PBE-GGA) data for a relaxed Pm6SmYTm2 crystal, as listed in Alexandria via LeMat-Bulk.

Formation energy from the elements, meV/atom: 115

a = 9.663 Å, b = 8.915 Å, c = 8.915 Å
α = 117.76°, β = 93.89°, γ = 93.89°
Atoms (fractional coordinates):
Pm1 0.184 0.564 0.016
Pm2 0.316 0.984 0.436
Tm1 0.954 0.702 0.802
Pm3 0.946 0.884 0.241
Pm4 0.684 0.016 0.564
Pm5 0.816 0.436 0.984
Y1 0.250 0.972 0.028
Sm1 0.750 0.592 0.408
Tm2 0.454 0.802 0.702
Pm6 0.120 0.707 0.492
Pm7 0.054 0.116 0.759
Pm8 0.446 0.241 0.884
Y2 0.750 0.028 0.972
Pm9 0.880 0.293 0.508
Pm10 0.620 0.492 0.707
Tm3 0.046 0.298 0.198
Pm11 0.380 0.508 0.293
Tm4 0.546 0.198 0.298
Pm12 0.554 0.759 0.116
Sm2 0.250 0.408 0.592

No. 6
First-principles (PBE-GGA) data for a relaxed Y2PSe crystal, as listed in Alexandria via LeMat-Bulk.

Polymorph energy (0 for the lowest one), eV per atom: 0.4630
Formation energy from raw total energies, meV/atom: -1333

a = 3.546 Å, b = 3.546 Å, c = 7.256 Å
α = 90.00°, β = 90.00°, γ = 100.76°
Atoms (fractional coordinates):
Se1 0.500 0.500 0.000
P1 0.500 0.500 0.500
Y1 0.000 0.000 0.264
Y2 0.000 0.000 0.736

No. 7
First-principles (PBE-GGA) data for a relaxed BaSnH8Rh2 crystal, as listed in Alexandria via LeMat-Bulk.

a = 5.128 Å, b = 5.128 Å, c = 6.943 Å
α = 68.33°, β = 68.33°, γ = 60.00°
Atoms (fractional coordinates):
H1 0.214 0.214 0.358
Rh1 0.696 0.696 0.912
H2 0.904 0.488 0.135
H3 0.512 0.527 0.865
Ba1 0.500 0.500 0.500
Rh2 0.304 0.304 0.088
H4 0.473 0.904 0.135
H5 0.786 0.786 0.642
Sn1 0.000 0.000 0.000
H6 0.096 0.512 0.865
H7 0.488 0.473 0.135
H8 0.527 0.096 0.865

No. 8
First-principles (PBE-GGA) data for a relaxed Ta2Co4Mo crystal, as listed in Alexandria via LeMat-Bulk.

Formation energy from the elements, meV/atom: 1080

a = 4.365 Å, b = 4.365 Å, c = 6.934 Å
α = 71.66°, β = 71.66°, γ = 90.00°
Atoms (fractional coordinates):
Co1 0.500 0.000 0.000
Co2 0.000 0.500 0.000
Mo1 0.000 0.000 0.000
Co3 0.196 0.196 0.609
Ta1 0.384 0.384 0.232
Co4 0.804 0.804 0.391
Ta2 0.616 0.616 0.768

No. 9
First-principles (PBE-GGA) data for a relaxed HfH4Ru crystal, as listed in Alexandria via LeMat-Bulk.

Polymorph energy (0 for the lowest one), eV per atom: 0.0000

a = 4.572 Å, b = 4.571 Å, c = 5.461 Å
α = 114.75°, β = 114.75°, γ = 90.00°
Atoms (fractional coordinates):
H1 0.860 0.360 0.720
H2 0.640 0.640 0.280
H3 0.640 0.140 0.280
H4 0.360 0.860 0.720
H5 0.140 0.640 0.280
Hf1 0.750 0.250 0.000
H6 0.860 0.860 0.720
Ru1 0.500 0.500 0.500
Ru2 0.000 0.000 0.500
Hf2 0.250 0.750 0.000
H7 0.360 0.360 0.720
H8 0.140 0.140 0.280

Listing raw total energy for the structures above in their given order: -4.844, -7.694, -4.441, -4.554, -4.748, -6.789, -4.063, -7.914, -5.653 eV/atom.